# Fe2PO2

A relaxed structure of Fe2PO2 (PBE with a Hubbard U, Alexandria).

a b c (Å): 4.154 4.154 7.506
angles (deg): 90.00 90.00 90.00
Positions (direct):
Fe 0.000 0.500 0.250
Fe 0.000 0.500 0.750
Fe 0.500 0.000 0.250
Fe 0.500 0.000 0.750
P 0.000 0.000 0.000
P 0.500 0.500 0.500
O 0.000 0.000 0.279
O 0.000 0.000 0.721
O 0.500 0.500 0.221
O 0.500 0.500 0.779

As for the excess energy over the best structure of this formula in the dataset: 0 meV per atom.